Entry 1:
## BaAuO3 (PBE)

Data for a relaxed BaAuO3 crystal.

Summary:
The density is 7.1 g cm⁻³. Its space-group type is No. 99. Its electronic total energy is -22.05 eV per formula unit. The crystal system is tetragonal.

Cell: 4.320 4.320 4.788 Å, 90.00 90.00 90.00°
Fractional positions:
Ba (0.000, 0.000, 0.000)
Au (0.500, 0.500, 0.492)
O (0.000, 0.000, 0.499)
O (0.000, 0.500, 0.494)
O (0.500, 0.000, 0.494)


Entry 2:
## TbTm2Tc (PBE)

Data for a relaxed TbTm2Tc crystal.

Summary:
Its formation enthalpy at 0 K is -0.5 eV/f.u. The density is 9.5 g cm⁻³. Its space-group type is No. 63. The total magnetic moment comes out at 0.006 μB per cell. Its electronic total energy is -24.45 eV per formula unit. The crystal system is orthorhombic.

Cell: 6.225 6.225 9.054 Å, 90.00 90.00 143.75°
Fractional positions:
Tb (0.071, 0.929, 0.750)
Tb (0.929, 0.071, 0.250)
Tm (0.354, 0.646, 0.566)
Tm (0.354, 0.646, 0.934)
Tm (0.646, 0.354, 0.066)
Tm (0.646, 0.354, 0.434)
Tc (0.260, 0.740, 0.250)
Tc (0.740, 0.260, 0.750)